(1)
Material: LiRe2Ir
Method: DFT, GGA-PBE
State: optimized geometry

Computed properties:
The calculation puts the calculated formation energy at 300 meV per atom. Its space group is P4/mmm.

```
LiRe2Ir
1.0
2.663 0.000 0.000
0.000 2.663 0.000
0.000 0.000 8.327
Li Re Ir
1 2 1
Direct
0.000 0.000 0.000
0.500 0.500 0.259
0.500 0.500 0.741
0.000 0.000 0.500
```

(2)
Material: Tl2AuN
Method: DFT, GGA-PBE
State: optimized geometry

Computed properties:
The distance to the lowest polymorph of the same formula is 0.390 eV per atom. Its space group is Fm-3m.

```
Tl2AuN
1.0
0.000 3.513 3.513
3.513 0.000 3.513
3.513 3.513 0.000
Tl Au N
2 1 1
Direct
0.250 0.250 0.250
0.750 0.750 0.750
0.000 0.000 0.000
0.500 0.500 0.500
```

(3)
Material: Ti3IrPt
Method: DFT, GGA-PBE
State: optimized geometry

Computed properties:
The distance to the lowest polymorph of the same formula is 0.000 eV per atom. The calculation puts the calculated formation energy at 258 meV per atom. Its space group is Pm-3m.

```
Ti3IrPt
1.0
4.674 0.000 0.000
0.000 4.674 0.000
0.000 0.000 4.674
Ti Ir Pt
3 1 1
Direct
0.000 0.000 0.500
0.000 0.500 0.000
0.500 0.000 0.000
0.000 0.000 0.000
0.500 0.500 0.500
```

(4)
Material: La2TbPm5
Method: DFT, GGA-PBE
State: optimized geometry

Computed properties:
The distance to the lowest polymorph of the same formula is 0.000 eV per atom. The calculation puts the calculated formation energy at 87 meV per atom. Its space group is C2/c.

```
La2TbPm5
1.0
11.892 -3.260 0.000
11.892 3.260 0.000
-10.477 0.000 14.528
La Tb Pm
8 4 20
Direct
0.023 0.112 0.231
0.112 0.023 0.731
0.203 0.355 0.441
0.355 0.203 0.941
0.645 0.797 0.059
0.797 0.645 0.559
0.888 0.977 0.269
0.977 0.888 0.769
0.234 0.539 0.887
0.461 0.766 0.613
0.539 0.234 0.387
0.766 0.461 0.113
0.075 0.228 0.969
0.079 0.335 0.713
0.118 0.776 0.480
0.224 0.882 0.020
0.228 0.075 0.469
0.299 0.369 0.168
0.335 0.079 0.213
0.369 0.299 0.668
0.436 0.521 0.135
0.479 0.564 0.365
0.521 0.436 0.635
0.564 0.479 0.865
0.631 0.701 0.332
0.665 0.921 0.787
0.701 0.631 0.832
0.772 0.925 0.531
0.776 0.118 0.980
0.882 0.224 0.520
0.921 0.665 0.287
0.925 0.772 0.031
```